No. 1
This record from Alexandria describes an optimized crystal structure of Pu7SCl12. The functional is GGA-PBE.

a b c (Å): 14.4419 14.4419 9.9458
angles (deg): 90.00 90.00 120.00
Space group R-3 (No. 148, hexagonal axes)
Unique sites:
Pu: 0.0000 0.0000 0.0000 [3 per cell]
Pu: 0.0458 0.1772 0.3396 [18 per cell]
S: 0.0000 0.0000 0.5000 [3 per cell]
Cl: 0.0246 0.5858 0.1602 [18 per cell]
Cl: 0.0451 0.1726 0.8298 [18 per cell]

The uncorrected formation energy is -1.76 eV per atom. As for the crystal system: trigonal.

***

No. 2
This record from Alexandria describes an optimized crystal structure of SrTlCuHg. The functional is GGA-PBE.

a b c (Å): 7.4478 7.4478 7.4478
angles (deg): 90.00 90.00 90.00
Space group F-43m (No. 216)
Unique sites:
Sr: 0.0000 0.0000 0.0000 [4 per cell]
Tl: 0.0000 0.0000 0.5000 [4 per cell]
Cu: 0.2500 0.2500 0.2500 [4 per cell]
Hg: 0.2500 0.2500 0.7500 [4 per cell]

As for the crystal system: cubic. The formation energy from the elements is -0.1248 eV per atom.

***

No. 3
This record from Alexandria describes an optimized crystal structure of YNiGe2Ir. The functional is GGA-PBE.

a b c (Å): 4.0962 4.0962 10.2906
angles (deg): 90.00 90.00 90.00
Space group I-4m2 (No. 119)
Unique sites:
Y: 0.0000 0.0000 0.0000 [2 per cell]
Ni: 0.0000 0.5000 0.7500 [2 per cell]
Ge: 0.0000 0.0000 0.3780 [4 per cell]
Ir: 0.0000 0.5000 0.2500 [2 per cell]

As for the energy above the most stable polymorph in this dataset: 0.0 meV per atom. As for the crystal system: tetragonal. The formation energy from the elements is -0.6795 eV per atom.

***

No. 4
This record from Alexandria describes an optimized crystal structure of Mg4GaAu7. The functional is GGA-PBE.

a b c (Å): 10.6885 4.9639 10.1529
angles (deg): 90.00 118.90 90.00
Space group C2/m (No. 12)
Unique sites:
Mg: 0.0920 0.0000 0.2729 [4 per cell]
Mg: 0.2361 0.5000 0.1608 [4 per cell]
Ga: 0.0000 0.5000 0.5000 [2 per cell]
Au: 0.0000 0.0000 0.5000 [2 per cell]
Au: 0.0706 0.5000 0.8249 [4 per cell]
Au: 0.1366 0.0000 0.0231 [4 per cell]
Au: 0.2084 0.5000 0.4123 [4 per cell]

As for the crystal system: monoclinic. The formation energy from the elements is -0.3814 eV per atom.

***

Computed density, in the same sequence as the records: 6.00, 8.94, 9.33, 10.88 g/cm3.